VASP calculation (PBE) on a relaxed structure of SrZrP.

Properties
Formation enthalpy at 0 K ... -0.5575 eV per atom
Relative energy among the computed polymorphs ... 0.051 eV per atom
Total energy ... -34.6 eV for the cell shown

Unit cell a=3.662 b=3.662 c=12.081 alpha=90.00 beta=90.00 gamma=90.00
Positions (direct):
Sr 0.000 0.000 0.000
Sr 0.500 0.500 0.500
Zr 0.000 0.000 0.721
Zr 0.500 0.500 0.221
P 0.000 0.000 0.262
P 0.500 0.500 0.762

=====

VASP calculation (PBE) on a relaxed structure of SrZr2P.

Properties
Formation enthalpy at 0 K ... 0.1684 eV per atom
Total energy ... -47.0 eV for the cell shown

Unit cell a=4.344 b=4.344 c=9.499 alpha=90.00 beta=90.00 gamma=90.00
Positions (direct):
Sr 0.000 0.000 0.000
Sr 0.500 0.500 0.500
Zr 0.000 0.000 0.500
Zr 0.000 0.500 0.750
Zr 0.500 0.000 0.250
Zr 0.500 0.500 0.000
P 0.000 0.500 0.250
P 0.500 0.000 0.750

=====

VASP calculation (PBE) on a relaxed structure of SrZr3P.

Properties
Formation enthalpy at 0 K ... 2.0115 eV per atom
Relative energy among the computed polymorphs ... 2.197 eV per atom
Total energy ... -22.7 eV for the cell shown

Unit cell a=5.097 b=5.097 c=5.097 alpha=90.00 beta=90.00 gamma=90.00
Positions (direct):
Sr 0.000 0.000 0.000
Zr 0.000 0.000 0.500
Zr 0.000 0.500 0.000
Zr 0.500 0.000 0.000
P 0.500 0.500 0.500

=====

VASP calculation (PBE) on a relaxed structure of SrZrP2.

Properties
Formation enthalpy at 0 K ... -0.5627 eV per atom
Relative energy among the computed polymorphs ... 0.646 eV per atom
Total energy ... -93.2 eV for the cell shown

Unit cell a=6.939 b=6.939 c=6.939 alpha=90.00 beta=90.00 gamma=90.00
Positions (direct):
Sr 0.000 0.000 0.000
Sr 0.000 0.500 0.500
Sr 0.500 0.000 0.500
Sr 0.500 0.500 0.000
Zr 0.000 0.000 0.500
Zr 0.000 0.500 0.000
Zr 0.500 0.000 0.000
Zr 0.500 0.500 0.500
P 0.250 0.250 0.250
P 0.250 0.250 0.750
P 0.250 0.750 0.250
P 0.250 0.750 0.750
P 0.750 0.250 0.250
P 0.750 0.250 0.750
P 0.750 0.750 0.250
P 0.750 0.750 0.750